Ni2AsIrO6 PBE with a Hubbard U relaxed; crystal system = tetragonal; total energy = -5.3573 eV per atom; space group = P4mm; DOS at the Fermi energy = 3.4 states/eV/f.u.
1.0
5.745 0.000 0.000
0.000 5.745 0.000
0.000 0.000 3.860
Ni As Ir O
2 1 1 6
Direct
0.000 0.500 0.000 Ni
0.500 0.000 0.000 Ni
0.000 0.000 0.794 As
0.500 0.500 0.838 Ir
0.000 0.000 0.347 O
0.248 0.248 0.897 O
0.248 0.752 0.897 O
0.500 0.500 0.344 O
0.752 0.248 0.897 O
0.752 0.752 0.897 O